The following is a DFT calculation (GGA-PBE) of crystalline Nb4Pd at its relaxed geometry.

Lattice parameters (Å, degrees): 11.668 11.575 2.825 84.89 81.16 13.95
Fractional positions:
Nb  0.096  0.096  0.904
Nb  0.302  0.302  0.698
Nb  0.698  0.698  0.302
Nb  0.904  0.904  0.096
Pd  0.500  0.500  0.500

## Properties
Distance to the lowest polymorph of the same formula, meV per atom: 0
Electronic total energy, eV/atom: -9.22
Energy of formation from the pure elements, meV/atom: -129
DOS(E_F), states/eV per atom: 1.335

The following is a DFT calculation (GGA-PBE) of crystalline Y3SbS3 at its relaxed geometry.

Lattice parameters (Å, degrees): 8.552 8.552 8.552 55.03 55.03 55.03
Fractional positions:
Y  0.021  0.420  0.782
Y  0.218  0.979  0.580
Y  0.420  0.782  0.021
Y  0.580  0.218  0.979
Y  0.782  0.021  0.420
Y  0.979  0.580  0.218
Sb  0.167  0.167  0.167
Sb  0.833  0.833  0.833
S  0.115  0.672  0.369
S  0.328  0.631  0.885
S  0.369  0.115  0.672
S  0.631  0.885  0.328
S  0.672  0.369  0.115
S  0.885  0.328  0.631

## Properties
Electronic total energy, eV/atom: -6.83

The following is a DFT calculation (GGA-PBE) of crystalline Al2SbTe at its relaxed geometry.

Lattice parameters (Å, degrees): 3.028 4.089 8.190 90.00 92.20 90.00
Fractional positions:
Al  0.004  0.000  0.253
Al  0.996  0.000  0.747
Sb  0.000  0.500  0.500
Te  0.000  0.500  0.000

## Properties
Distance to the lowest polymorph of the same formula, meV per atom: 216
Electronic total energy, eV/atom: -3.58
DOS(E_F), states/eV per atom: 0.429

The following is a DFT calculation (GGA-PBE) of crystalline Rb3PdO2 at its relaxed geometry.

Lattice parameters (Å, degrees): 8.091 8.091 8.091 133.31 77.64 121.88
Fractional positions:
Rb  0.041  0.750  0.291
Rb  0.250  0.250  0.000
Rb  0.459  0.750  0.709
Rb  0.541  0.250  0.291
Rb  0.750  0.750  0.000
Rb  0.959  0.250  0.709
Pd  0.000  0.500  0.500
Pd  0.500  0.000  0.500
O  0.110  0.727  0.837
O  0.390  0.227  0.617
O  0.610  0.773  0.383
O  0.890  0.273  0.163

## Properties
Electronic total energy, eV/atom: -3.78
DOS(E_F), states/eV per atom: 0.974

Number 1: calculated volume 88.0 Å³/f.u.. Number 2: calculated volume 195.6 Å³/f.u.. Number 3: calculated volume 101.3 Å³/f.u.. Number 4: calculated volume 158.9 Å³/f.u..